--- i ---
The following is a DFT calculation (PBEsol) of a geometry-optimized CeTa7O19 structure.

Results
Crystal system   hexagonal
Total moment   0.037 μB per atom

Cell lengths 6.214, 6.214, 20.013 Å; angles 90.00, 90.00, 120.00 degrees
Each line ends with the local moment (μB).
Element x y z (fractional)
O 0.616 0.712 0.056  0.00
O 0.667 0.085 0.347  0.00
O 0.288 0.384 0.556  0.00
O 0.333 0.667 0.168  0.00
O 0.712 0.959 0.750  0.00
O 0.096 0.384 0.444  0.00
O 0.333 0.667 0.832  0.00
O 0.000 0.000 0.630  0.00
O 0.333 0.667 0.332  0.00
O 0.096 0.712 0.556  0.00
O 0.616 0.712 0.444  0.00
O 0.418 0.333 0.153  0.00
O 0.000 0.000 0.130  0.00
O 0.915 0.582 0.347  0.00
O 0.616 0.904 0.556  0.00
O 0.667 0.582 0.847  0.00
O 0.096 0.712 0.944  0.00
O 0.288 0.384 0.944  0.00
O 0.667 0.085 0.153  0.00
O 0.246 0.959 0.250  0.00
O 0.915 0.333 0.847  0.00
O 0.041 0.754 0.750  0.00
O 0.246 0.288 0.750  0.00
O 0.418 0.085 0.847  0.00
O 0.288 0.904 0.056  0.00
O 0.915 0.333 0.653  0.00
O 0.915 0.582 0.153  0.00
O 0.418 0.085 0.653  0.00
O 0.096 0.384 0.056  0.00
O 0.041 0.288 0.250  0.00
O 0.418 0.333 0.347  0.00
O 0.616 0.904 0.944  0.00
O 0.000 0.000 0.870  0.00
O 0.288 0.904 0.444  0.00
O 0.712 0.754 0.250  0.00
O 0.333 0.667 0.668  0.00
O 0.000 0.000 0.370  0.00
O 0.667 0.582 0.653  0.00
Ta 0.305 0.971 0.156  0.02
Ta 0.029 0.695 0.844  0.02
Ta 0.305 0.971 0.344  0.02
Ta 0.666 0.695 0.156  0.02
Ta 0.333 0.667 0.000  0.02
Ta 0.029 0.334 0.156  0.02
Ta 0.029 0.334 0.344  0.02
Ta 0.305 0.334 0.844  0.02
Ta 0.666 0.695 0.344  0.02
Ta 0.305 0.334 0.656  0.02
Ta 0.029 0.695 0.656  0.02
Ta 0.333 0.667 0.500  0.02
Ta 0.666 0.971 0.656  0.02
Ta 0.666 0.971 0.844  0.02
Ce 0.000 0.000 0.500  0.85
Ce 0.000 0.000 0.000  0.85



--- ii ---
The following is a DFT calculation (PBEsol) of a geometry-optimized CeTa7O19 structure.

Results
Crystal system   hexagonal
Total moment   0.037 μB per atom

Cell lengths 6.229, 6.229, 20.058 Å; angles 90.00, 90.00, 120.00 degrees
Each line ends with the local moment (μB).
Element x y z (fractional)
O 0.333 0.667 0.591  0.00
O 0.378 0.952 0.806  0.00
O 0.003 0.248 0.403  0.00
O 0.426 0.378 0.306  0.00
O 0.000 0.603 0.500  0.00
O 0.752 0.754 0.403  0.00
O 0.667 0.333 0.883  0.00
O 0.333 0.667 0.383  0.00
O 0.048 0.622 0.694  0.00
O 0.667 0.333 0.617  0.00
O 0.603 0.000 0.500  0.00
O 0.603 0.603 0.000  0.00
O 0.997 0.246 0.597  0.00
O 0.378 0.426 0.694  0.00
O 0.754 0.752 0.597  0.00
O 0.246 0.997 0.403  0.00
O 0.997 0.752 0.903  0.00
O 0.952 0.574 0.306  0.00
O 0.397 0.000 0.000  0.00
O 0.952 0.378 0.194  0.00
O 0.754 0.003 0.903  0.00
O 0.426 0.048 0.194  0.00
O 0.622 0.048 0.306  0.00
O 0.622 0.574 0.194  0.00
O 0.574 0.952 0.694  0.00
O 0.333 0.667 0.909  0.00
O 0.003 0.754 0.097  0.00
O 0.667 0.333 0.091  0.00
O 0.248 0.246 0.903  0.00
O 0.000 0.397 0.000  0.00
O 0.333 0.667 0.117  0.00
O 0.574 0.622 0.806  0.00
O 0.667 0.333 0.409  0.00
O 0.397 0.397 0.500  0.00
O 0.048 0.426 0.806  0.00
O 0.248 0.003 0.597  0.00
O 0.752 0.997 0.097  0.00
O 0.246 0.248 0.097  0.00
Ce 0.667 0.333 0.750  0.85
Ce 0.333 0.667 0.250  0.85
Ta 0.667 0.333 0.250  0.02
Ta 0.362 0.360 0.405  0.02
Ta 0.002 0.640 0.595  0.02
Ta 0.362 0.002 0.095  0.02
Ta 0.360 0.998 0.905  0.02
Ta 0.638 0.998 0.595  0.02
Ta 0.640 0.638 0.095  0.02
Ta 0.998 0.360 0.095  0.02
Ta 0.998 0.638 0.405  0.02
Ta 0.333 0.667 0.750  0.02
Ta 0.638 0.640 0.905  0.02
Ta 0.002 0.362 0.905  0.02
Ta 0.360 0.362 0.595  0.02
Ta 0.640 0.002 0.405  0.02



Least stable of them? ii.



--- i ---
The following is a DFT calculation (PBEsol) of a geometry-optimized Ce2Y2O7 structure.

Results
Crystal system   tetragonal
Total moment   0.000 μB per atom

Cell lengths 3.800, 3.800, 10.715 Å; angles 90.00, 90.00, 90.00 degrees
Element x y z (fractional)
O 0.500 0.500 0.742
O 0.000 0.000 0.233
O 0.500 0.500 0.500
O 0.500 0.500 0.258
O 0.000 0.000 0.767
O 0.500 0.500 0.000
O 0.000 0.000 0.500
Y 0.000 0.500 0.139
Y 0.500 0.000 0.861
Ce 0.000 0.500 0.626
Ce 0.500 0.000 0.374



--- ii ---
The following is a DFT calculation (PBEsol) of a geometry-optimized Ce2Y2O7 structure.

Results
Crystal system   orthorhombic
Total moment   0.000 μB per atom

Cell lengths 3.719, 7.663, 10.747 Å; angles 90.00, 90.00, 90.00 degrees
Element x y z (fractional)
Y 0.000 0.750 0.769
Y 0.500 0.500 0.500
Y 0.000 0.250 0.231
Y 0.500 0.000 0.500
O 0.500 0.250 0.607
O 0.000 0.959 0.625
O 0.500 0.250 0.127
O 0.500 0.750 0.393
O 0.500 0.250 0.866
O 0.000 0.510 0.123
O 0.000 0.010 0.877
O 0.000 0.990 0.123
O 0.000 0.541 0.625
O 0.000 0.041 0.375
O 0.500 0.750 0.873
O 0.500 0.750 0.134
O 0.000 0.490 0.877
O 0.000 0.459 0.375
Ce 0.000 0.250 0.745
Ce 0.500 0.000 0.000
Ce 0.500 0.500 0.000
Ce 0.000 0.750 0.255



Least stable of them? i.



--- i ---
The following is a DFT calculation (PBEsol) of a geometry-optimized CeZr3O8 structure.

Results
Crystal system   orthorhombic
Total moment   0.000 μB per atom

Cell lengths 3.651, 6.367, 6.367 Å; angles 110.41, 90.00, 90.00 degrees
Element x y z (fractional)
O 0.500 0.651 0.871
O 0.000 0.350 0.650
O 0.000 0.618 0.382
O 0.500 0.129 0.349
O 0.500 0.907 0.612
O 0.500 0.388 0.093
O 0.000 0.101 0.899
O 0.000 0.855 0.145
Ce 0.500 0.498 0.502
Zr 0.500 0.003 0.997
Zr 0.000 0.995 0.495
Zr 0.000 0.505 0.005



--- ii ---
The following is a DFT calculation (PBEsol) of a geometry-optimized CeZr3O8 structure.

Results
Crystal system   monoclinic
Total moment   0.000 μB per atom

Cell lengths 5.217, 7.318, 7.318 Å; angles 90.34, 90.93, 90.93 degrees
Element x y z (fractional)
O 0.960 0.383 0.869
O 0.941 0.865 0.902
O 0.523 0.644 0.104
O 0.460 0.869 0.383
O 0.059 0.135 0.098
O 0.977 0.896 0.356
O 0.477 0.356 0.896
O 0.522 0.624 0.644
O 0.540 0.131 0.617
O 0.559 0.098 0.135
O 0.478 0.376 0.356
O 0.023 0.104 0.644
O 0.441 0.902 0.865
O 0.022 0.644 0.624
O 0.978 0.356 0.376
O 0.040 0.617 0.131
Zr 0.248 0.380 0.123
Zr 0.252 0.877 0.620
Zr 0.250 0.882 0.118
Zr 0.750 0.118 0.882
Zr 0.752 0.620 0.877
Zr 0.748 0.123 0.380
Ce 0.250 0.370 0.630
Ce 0.750 0.630 0.370



Least stable of them? i.



--- i ---
The following is a DFT calculation (PBEsol) of a geometry-optimized CePm3 structure.

Results
Crystal system   tetragonal
Total moment   0.219 μB per atom

Cell lengths 4.970, 4.970, 6.118 Å; angles 113.96, 113.96, 90.00 degrees
Each line ends with the local moment (μB).
Element x y z (fractional)
Pm 0.250 0.750 0.500  0.04
Pm 0.500 0.500 0.000  0.03
Pm 0.750 0.250 0.500  0.04
Ce 0.000 0.000 0.000  0.60



--- ii ---
The following is a DFT calculation (PBEsol) of a geometry-optimized CePm3 structure.

Results
Crystal system   hexagonal
Total moment   0.015 μB per atom

Cell lengths 5.751, 7.068, 7.068 Å; angles 120.00, 90.00, 90.00 degrees
Each line ends with the local moment (μB).
Element x y z (fractional)
Ce 0.250 0.667 0.333  0.05
Ce 0.750 0.333 0.667  0.05
Pm 0.750 0.336 0.168  0.00
Pm 0.250 0.168 0.832  0.00
Pm 0.250 0.168 0.336  0.00
Pm 0.750 0.832 0.168  0.00
Pm 0.250 0.664 0.832  0.00
Pm 0.750 0.832 0.664  0.00



Least stable of them? ii.



--- i ---
The following is a DFT calculation (PBEsol) of a geometry-optimized Tb3Ce structure.

Results
Crystal system   tetragonal
Total moment   0.198 μB per atom

Cell lengths 4.903, 4.903, 6.008 Å; angles 114.09, 114.09, 90.00 degrees
Each line ends with the local moment (μB).
Element x y z (fractional)
Tb 0.500 0.500 0.000  0.03
Tb 0.750 0.250 0.500  0.04
Tb 0.250 0.750 0.500  0.04
Ce 0.000 0.000 0.000  0.55



--- ii ---
The following is a DFT calculation (PBEsol) of a geometry-optimized Tb3Ce structure.

Results
Crystal system   hexagonal
Total moment   0.103 μB per atom

Cell lengths 3.461, 3.461, 11.280 Å; angles 90.00, 90.00, 120.00 degrees
Each line ends with the local moment (μB).
Element x y z (fractional)
Tb 0.667 0.333 0.248  0.01
Tb 0.667 0.333 0.752  0.01
Tb 0.333 0.667 0.500  -0.01
Ce 0.333 0.667 0.000  0.34



Least stable of them? i.



--- i ---
The following is a DFT calculation (PBEsol) of a geometry-optimized Co3Cl structure.

Results
Crystal system   orthorhombic
Total moment   1.275 μB per atom

Cell lengths 3.888, 5.027, 5.027 Å; angles 96.05, 90.00, 90.00 degrees
Each line ends with the local moment (μB).
Element x y z (fractional)
Co 0.750 0.100 0.272  1.77
Co 0.750 0.204 0.796  1.50
Co 0.250 0.796 0.204  1.50
Co 0.250 0.272 0.100  1.77
Co 0.750 0.728 0.900  1.77
Co 0.250 0.900 0.728  1.77
Cl 0.250 0.358 0.642  0.12
Cl 0.750 0.642 0.358  0.12



--- ii ---
The following is a DFT calculation (PBEsol) of a geometry-optimized Co3Cl structure.

Results
Crystal system   orthorhombic
Total moment   1.310 μB per atom

Cell lengths 2.749, 2.942, 6.385 Å; angles 90.00, 90.00, 90.00 degrees
Each line ends with the local moment (μB).
Element x y z (fractional)
Co 0.500 0.000 0.297  1.67
Co 0.500 0.000 0.703  1.67
Co 0.000 0.500 0.500  1.84
Cl 0.000 0.000 0.000  0.10



Least stable of them? i.



--- i ---
The following is a DFT calculation (PBEsol) of a geometry-optimized CrCo2Cl structure.

Results
Crystal system   trigonal
Total moment   0.764 μB per atom

Cell lengths 2.731, 2.731, 7.571 Å; angles 79.61, 79.61, 60.00 degrees
Each line ends with the local moment (μB).
Element x y z (fractional)
Co 0.248 0.248 0.256  1.16
Co 0.752 0.752 0.744  1.16
Cr 0.500 0.500 0.500  0.61
Cl 0.000 0.000 0.000  0.14



--- ii ---
The following is a DFT calculation (PBEsol) of a geometry-optimized CrCo2Cl structure.

Results
Crystal system   cubic
Total moment   0.371 μB per atom

Cell lengths 3.990, 3.990, 3.990 Å; angles 60.00, 60.00, 60.00 degrees
Each line ends with the local moment (μB).
Element x y z (fractional)
Co 0.000 0.000 0.000  0.75
Co 0.250 0.250 0.250  1.20
Cl 0.500 0.500 0.500  0.03
Cr 0.750 0.750 0.750  -0.44



Least stable of them? ii.



--- i ---
The following is a DFT calculation (PBEsol) of a geometry-optimized CrCoCl2 structure.

Results
Crystal system   cubic
Total moment   1.577 μB per atom

Cell lengths 4.390, 4.390, 4.390 Å; angles 60.00, 60.00, 60.00 degrees
Each line ends with the local moment (μB).
Element x y z (fractional)
Cr 0.500 0.500 0.500  3.83
Cl 0.250 0.250 0.250  0.08
Cl 0.750 0.750 0.750  0.08
Co 0.000 0.000 0.000  1.84



--- ii ---
The following is a DFT calculation (PBEsol) of a geometry-optimized CrCoCl2 structure.

Results
Crystal system   tetragonal
Total moment   1.660 μB per atom

Cell lengths 3.158, 3.158, 6.191 Å; angles 90.00, 90.00, 90.00 degrees
Each line ends with the local moment (μB).
Element x y z (fractional)
Cl 0.000 0.000 0.759  0.08
Cl 0.000 0.000 0.241  0.08
Co 0.500 0.500 0.000  1.91
Cr 0.500 0.500 0.500  4.01



Least stable of them? ii.



--- i ---
The following is a DFT calculation (PBEsol) of a geometry-optimized CoCu2Cl structure.

Results
Crystal system   monoclinic
Total moment   0.345 μB per atom

Cell lengths 2.729, 4.060, 5.221 Å; angles 112.75, 104.96, 90.47 degrees
Each line ends with the local moment (μB).
Element x y z (fractional)
Cu 0.500 0.000 0.500  0.01
Cu 0.000 0.500 0.500  0.01
Cl 0.000 0.000 0.000  0.06
Co 0.500 0.500 0.000  1.33



--- ii ---
The following is a DFT calculation (PBEsol) of a geometry-optimized CoCu2Cl structure.

Results
Crystal system   trigonal
Total moment   0.430 μB per atom

Cell lengths 2.856, 2.856, 7.570 Å; angles 79.13, 79.13, 60.00 degrees
Each line ends with the local moment (μB).
Element x y z (fractional)
Cu 0.749 0.749 0.752  0.05
Cu 0.251 0.251 0.248  0.05
Cl 0.500 0.500 0.500  0.01
Co 0.000 0.000 0.000  1.70



--- iii ---
The following is a DFT calculation (PBEsol) of a geometry-optimized CoCu2Cl structure.

Results
Crystal system   monoclinic
Total moment   0.448 μB per atom

Cell lengths 2.909, 3.060, 6.233 Å; angles 89.80, 90.00, 90.00 degrees
Each line ends with the local moment (μB).
Element x y z (fractional)
Cl 0.000 0.504 0.514  0.09
Cu 0.500 0.497 0.196  0.01
Cu 0.000 0.999 0.993  0.08
Co 0.500 0.500 0.796  1.66



Least stable of them? i.



--- i ---
The following is a DFT calculation (PBEsol) of a geometry-optimized Co2HgCl structure.

Results
Crystal system   monoclinic
Total moment   0.894 μB per atom

Cell lengths 2.974, 4.919, 5.643 Å; angles 84.34, 74.72, 72.40 degrees
Each line ends with the local moment (μB).
Element x y z (fractional)
Co 0.845 0.959 0.352  1.76
Co 0.155 0.041 0.648  1.76
Cl 0.500 0.000 0.000  0.08
Hg 0.500 0.500 0.500  -0.03



--- ii ---
The following is a DFT calculation (PBEsol) of a geometry-optimized Co2HgCl structure.

Results
Crystal system   tetragonal
Total moment   0.857 μB per atom

Cell lengths 2.963, 4.468, 4.468 Å; angles 90.00, 90.00, 90.00 degrees
Each line ends with the local moment (μB).
Element x y z (fractional)
Hg 0.500 0.500 0.500  -0.05
Cl 0.500 0.000 0.000  0.14
Co 0.000 0.000 0.500  1.71
Co 0.000 0.500 0.000  1.71



Least stable of them? ii.